{
  "formula": "LiV3OF11",
  "functional": "PBE with a Hubbard U",
  "state": "optimized geometry",
  "lattice_angstrom": [[15.5073, 0.0000, 0.0000], [0.0000, 5.1880, 0.0000], [-0.9269, 0.0000, 5.2963]],
  "species": ["Li", "Li", "V", "V", "V", "V", "V", "V", "O", "O", "F", "F", "F", "F", "F", "F", "F", "F", "F", "F", "F", "F", "F", "F", "F", "F", "F", "F", "F", "F", "F", "F"],
  "frac_coords": [[0.0000, 0.2116, 0.0000], [0.0000, 0.7884, 0.5000], [0.2337, 0.2489, 0.2078], [0.2337, 0.7511, 0.7078], [0.5606, 0.2500, 0.8718], [0.5606, 0.7500, 0.3718], [0.8868, 0.2787, 0.4998], [0.8868, 0.7213, 0.9998], [0.9210, 0.4392, 0.2449], [0.9210, 0.5608, 0.7449], [0.0027, 0.1365, 0.6344], [0.0027, 0.8635, 0.1344], [0.1176, 0.3343, 0.1277], [0.1176, 0.6657, 0.6277], [0.2062, 0.0626, 0.5018], [0.2062, 0.9374, 0.0018], [0.2551, 0.4370, 0.9084], [0.2551, 0.5630, 0.4084], [0.3440, 0.1550, 0.2832], [0.3440, 0.8450, 0.7832], [0.4492, 0.3432, 0.7964], [0.4492, 0.6568, 0.2964], [0.5342, 0.0614, 0.1661], [0.5342, 0.9386, 0.6661], [0.5856, 0.4378, 0.5767], [0.5856, 0.5622, 0.0767], [0.6710, 0.1560, 0.9490], [0.6710, 0.8440, 0.4490], [0.7734, 0.3362, 0.4751], [0.7734, 0.6638, 0.9751], [0.8689, 0.0558, 0.8259], [0.8689, 0.9442, 0.3259]],
  "dos_ef_per_ev_atom": 0.1966,
  "dft_energy_ha_per_atom": -0.211,
  "total_magnetization_mub_per_cell": 6.0,
  "volume_a3_per_atom": 13.32,
  "spacegroup": "Pc, No. 7"
}